A plane-wave DFT calculation with PBE-GGA was carried out for crystalline Pu4Ga16Ni3 at its relaxed geometry.

Lattice parameters (Å, degrees): 6.0990 6.0990 11.0741 90.00 90.00 90.00
Fractional positions:
Pu 0.0000 0.5000 0.1920
Pu 0.0000 0.5000 0.8080
Pu 0.5000 0.0000 0.1920
Pu 0.5000 0.0000 0.8080
Ga 0.0000 0.0000 0.2006
Ga 0.0000 0.0000 0.7994
Ga 0.2192 0.2192 0.0000
Ga 0.2192 0.7808 0.0000
Ga 0.2481 0.2481 0.3809
Ga 0.2481 0.2481 0.6191
Ga 0.2481 0.7519 0.3809
Ga 0.2481 0.7519 0.6191
Ga 0.5000 0.5000 0.2216
Ga 0.5000 0.5000 0.7784
Ga 0.7519 0.2481 0.3809
Ga 0.7519 0.2481 0.6191
Ga 0.7519 0.7519 0.3809
Ga 0.7519 0.7519 0.6191
Ga 0.7808 0.2192 0.0000
Ga 0.7808 0.7808 0.0000
Ni 0.0000 0.5000 0.5000
Ni 0.5000 0.0000 0.5000
Ni 0.5000 0.5000 0.0000



A plane-wave DFT calculation with PBE-GGA was carried out for crystalline Pu2Ga12Ni at its relaxed geometry.

Lattice parameters (Å, degrees): 6.0119 6.0119 15.4967 90.00 90.00 90.00
Fractional positions:
Pu 0.2500 0.7500 0.2403
Pu 0.2500 0.7500 0.7597
Pu 0.7500 0.2500 0.2403
Pu 0.7500 0.2500 0.7597
Ga 0.0001 0.9999 0.0848
Ga 0.9999 0.0001 0.9152
Ga 0.9999 0.4999 0.0848
Ga 0.0001 0.5001 0.9152
Ga 0.0784 0.5784 0.4288
Ga 0.0784 0.9216 0.5712
Ga 0.2500 0.2500 0.1848
Ga 0.2500 0.2500 0.3413
Ga 0.2500 0.2500 0.6587
Ga 0.2500 0.2500 0.8152
Ga 0.4216 0.5784 0.5712
Ga 0.4216 0.9216 0.4288
Ga 0.5001 0.0001 0.0848
Ga 0.4999 0.9999 0.9152
Ga 0.4999 0.5001 0.0848
Ga 0.5001 0.4999 0.9152
Ga 0.5784 0.0784 0.5712
Ga 0.5784 0.4216 0.4288
Ga 0.7500 0.7500 0.1848
Ga 0.7500 0.7500 0.3413
Ga 0.7500 0.7500 0.6587
Ga 0.7500 0.7500 0.8152
Ga 0.9216 0.0784 0.4288
Ga 0.9216 0.4216 0.5712
Ni 0.2500 0.7500 0.0000
Ni 0.7500 0.2500 0.0000



| no. | uncorrected energy (hartree per atom) |
| --- | --- |
| 1 | -0.2120 |
| 2 | -0.1838 |